No. 1
VASP calculation (GGA-PBE) on RbLaRh2 after structural relaxation.

For the energy of formation from the pure elements, the calculation gives 0.251 eV/atom.

Lattice parameters (Å, degrees): 9.5992 9.5992 9.5992 146.80 146.80 47.65
Sites, in units of the cell vectors:
Rb  0.0000  0.0000  0.0000
Rb  0.7500  0.2500  0.5000
La  0.2500  0.7500  0.5000
La  0.5000  0.5000  0.0000
Rh  0.3165  0.6250  0.1915
Rh  0.3750  0.5665  0.6915
Rh  0.4335  0.1250  0.8085
Rh  0.8750  0.6835  0.3085



No. 2
VASP calculation (GGA-PBE) on HgPH after structural relaxation.

The calculated total energy is -3.002 eV per atom.

Lattice parameters (Å, degrees): 3.3087 7.3134 11.6879 107.84 90.59 90.25
Sites, in units of the cell vectors:
Hg  0.2322  0.4440  0.1171
Hg  0.2612  0.4486  0.6177
Hg  0.7388  0.5514  0.3823
Hg  0.7678  0.5560  0.8829
P  0.2178  0.9489  0.2997
P  0.2848  0.9506  0.7967
P  0.7152  0.0494  0.2033
P  0.7822  0.0511  0.7003
H  0.2231  0.1266  0.3972
H  0.2901  0.1283  0.8941
H  0.7099  0.8717  0.1059
H  0.7769  0.8734  0.6028



No. 3
VASP calculation (GGA-PBE) on LaYMo2 after structural relaxation.

For the energy of formation from the pure elements, the calculation gives 0.457 eV/atom.

Lattice parameters (Å, degrees): 10.1468 10.1468 10.1468 18.99 18.99 18.99
Sites, in units of the cell vectors:
La  0.0000  0.0000  0.0000
Y  0.2208  0.2208  0.2208
Mo  0.4729  0.4729  0.4729
Mo  0.7517  0.7517  0.7517



No. 4
VASP calculation (GGA-PBE) on Pr7HoCd4 after structural relaxation.

For the energy of formation from the pure elements, the calculation gives -0.031 eV/atom.

Lattice parameters (Å, degrees): 8.1395 8.1395 10.0607 119.66 119.66 42.61
Sites, in units of the cell vectors:
Pr  0.0000  0.0000  0.0000
Pr  0.2369  0.2369  0.6942
Pr  0.2958  0.2958  0.1157
Pr  0.4307  0.4307  0.5924
Pr  0.5693  0.5693  0.4076
Pr  0.7042  0.7042  0.8843
Pr  0.7631  0.7631  0.3058
Ho  0.5000  0.5000  0.0000
Cd  0.0401  0.0401  0.7125
Cd  0.1813  0.1813  0.3436
Cd  0.8187  0.8187  0.6564
Cd  0.9599  0.9599  0.2875



No. 5
VASP calculation (GGA-PBE) on TbSm12Dy3 after structural relaxation.

For the energy of formation from the pure elements, the calculation gives 0.016 eV/atom.

Lattice parameters (Å, degrees): 5.1021 5.1021 20.3740 90.00 90.00 90.00
Sites, in units of the cell vectors:
Tb  0.0000  0.0000  0.0000
Sm  0.0000  0.5000  0.1253
Sm  0.0000  0.5000  0.3751
Sm  0.0000  0.5000  0.6249
Sm  0.0000  0.5000  0.8747
Sm  0.5000  0.0000  0.1253
Sm  0.5000  0.0000  0.3751
Sm  0.5000  0.0000  0.6249
Sm  0.5000  0.0000  0.8747
Sm  0.5000  0.5000  0.0000
Sm  0.5000  0.5000  0.2503
Sm  0.5000  0.5000  0.5000
Sm  0.5000  0.5000  0.7497
Dy  0.0000  0.0000  0.2503
Dy  0.0000  0.0000  0.5000
Dy  0.0000  0.0000  0.7497



No. 6
VASP calculation (GGA-PBE) on Dy6Tl2Ga after structural relaxation.

For the energy of formation from the pure elements, the calculation gives -0.107 eV/atom.

Lattice parameters (Å, degrees): 8.8499 8.8499 8.8499 146.52 131.80 59.96
Sites, in units of the cell vectors:
Dy  0.0817  0.3383  0.7434
Dy  0.2372  0.0000  0.2372
Dy  0.4051  0.6617  0.7434
Dy  0.5949  0.3383  0.2566
Dy  0.7628  0.0000  0.7628
Dy  0.9183  0.6617  0.2566
Tl  0.3341  0.8341  0.5000
Tl  0.6659  0.1659  0.5000
Ga  0.0000  0.5000  0.5000



No. 7
VASP calculation (GGA-PBE) on NaCdSb after structural relaxation.

The calculation puts the formation energy from raw total energies at -0.266 eV per atom.

Lattice parameters (Å, degrees): 8.6641 8.6551 7.1443 65.70 65.57 48.72
Sites, in units of the cell vectors:
Na  0.0038  0.0038  0.2462
Na  0.2462  0.2462  0.0038
Na  0.7538  0.7538  0.9962
Na  0.9962  0.9962  0.7538
Cd  0.2458  0.2458  0.5042
Cd  0.4958  0.4958  0.7542
Cd  0.5042  0.5042  0.2458
Cd  0.7542  0.7542  0.4958
Sb  0.1455  0.6045  0.6045
Sb  0.3955  0.8545  0.8545
Sb  0.6045  0.1455  0.1455
Sb  0.8545  0.3955  0.3955



No. 8
VASP calculation (GGA-PBE) on ScAsIr3 after structural relaxation.

For the energy of formation from the pure elements, the calculation gives 1.556 eV/atom.

Lattice parameters (Å, degrees): 4.7017 4.7017 4.7017 90.00 90.00 90.00
Sites, in units of the cell vectors:
Sc  0.0000  0.0000  0.0000
As  0.5000  0.5000  0.5000
Ir  0.0000  0.0000  0.5000
Ir  0.0000  0.5000  0.0000
Ir  0.5000  0.0000  0.0000



Number 1: size of the total moment 0.000 μB per atom. Number 2: size of the total moment 0.000 μB per atom. Number 3: size of the total moment 0.000 μB per atom. Number 4: size of the total moment 0.000 μB per atom. Number 5: size of the total moment 0.000 μB per atom. Number 6: size of the total moment 0.000 μB per atom. Number 7: size of the total moment 0.000 μB per atom. Number 8: size of the total moment 0.001 μB per atom.